Record 1
Below is a geometry-optimized ZnIrCl structure, with properties calculated at the PBE-GGA level.

Summary:
size of the total moment: 0.00 μB/f.u.
excess energy over the best structure of this formula in the dataset: 428 meV/atom
formation energy (no corrections): 0.63 eV per atom
total DFT energy (no corrections): -0.2475 Ry per atom

Cell lengths 4.265, 4.265, 4.265 Å; angles 60.00, 60.00, 60.00 degrees
Fractional coordinates of all 3 atoms:
Cl1 0.500 0.500 0.500
Ir1 0.750 0.750 0.750
Zn1 0.000 0.000 0.000

***

Record 2
Below is a geometry-optimized ZnIr2Cl2 structure, with properties calculated at the PBE-GGA level.

Summary:
size of the total moment: 0.00 μB/f.u.
excess energy over the best structure of this formula in the dataset: 458 meV/atom
formation energy (no corrections): 1.01 eV per atom
total DFT energy (no corrections): -0.2595 Ry per atom

Cell lengths 7.720, 7.720, 2.893 Å; angles 90.00, 90.00, 90.00 degrees
Fractional coordinates of all 10 atoms:
Zn1 0.000 0.000 0.000
Zn2 0.500 0.500 0.000
Ir1 0.205 0.705 0.500
Ir2 0.705 0.795 0.500
Ir3 0.795 0.295 0.500
Ir4 0.295 0.205 0.500
Cl1 0.372 0.872 0.000
Cl2 0.872 0.628 0.000
Cl3 0.628 0.128 0.000
Cl4 0.128 0.372 0.000

***

Record 3
Below is a geometry-optimized ZnIrCl structure, with properties calculated at the PBE-GGA level.

Summary:
size of the total moment: 0.00 μB/f.u.
excess energy over the best structure of this formula in the dataset: 272 meV/atom
formation energy (no corrections): 0.47 eV per atom
total DFT energy (no corrections): -0.2590 Ry per atom

Cell lengths 4.279, 4.279, 2.987 Å; angles 90.00, 90.00, 120.00 degrees
Fractional coordinates of all 3 atoms:
Cl1 0.000 0.000 0.167
Ir1 0.667 0.333 0.167
Zn1 0.333 0.667 0.666

***

Record 4
Below is a geometry-optimized ZnIrCl structure, with properties calculated at the PBE-GGA level.

Summary:
size of the total moment: 0.00 μB/f.u.
excess energy over the best structure of this formula in the dataset: 146 meV/atom
formation energy (no corrections): 0.34 eV per atom
total DFT energy (no corrections): -0.2683 Ry per atom

Cell lengths 6.057, 6.057, 6.057 Å; angles 151.47, 151.47, 40.79 degrees
Fractional coordinates of all 3 atoms:
Cl1 0.988 0.988 0.000
Ir1 0.322 0.322 0.000
Zn1 0.691 0.691 0.000

***

Record 5
Below is a geometry-optimized ZnIr3Cl structure, with properties calculated at the PBE-GGA level.

Summary:
size of the total moment: 0.00 μB/f.u.
excess energy over the best structure of this formula in the dataset: 0 meV/atom
formation energy (no corrections): 1.47 eV per atom
total DFT energy (no corrections): -0.3287 Ry per atom

Cell lengths 4.424, 4.424, 4.424 Å; angles 90.00, 90.00, 90.00 degrees
Fractional coordinates of all 5 atoms:
Zn1 0.500 0.500 0.500
Ir1 0.000 0.500 0.000
Ir2 0.000 0.000 0.500
Ir3 0.500 0.000 0.000
Cl1 0.000 0.000 0.000

***

Record 6
Below is a geometry-optimized ZnIrCl4 structure, with properties calculated at the PBE-GGA level.

Summary:
size of the total moment: 0.34 μB/f.u.
formation energy (no corrections): 1.29 eV per atom
total DFT energy (no corrections): -0.1196 Ry per atom

Cell lengths 5.703, 5.703, 5.703 Å; angles 60.00, 60.00, 60.00 degrees
Fractional coordinates of all 6 atoms:
Zn1 0.000 0.000 0.000
Ir1 0.750 0.750 0.750
Cl1 0.874 0.375 0.375
Cl2 0.375 0.375 0.874
Cl3 0.375 0.874 0.375
Cl4 0.375 0.375 0.375

***

Question: What is the formula in the fourth record?
Answer: ZnIrCl

***

Question: Which formula does entry 2 have?
Answer: ZnIr2Cl2

***

Question: The lowest total DFT energy (no corrections) belongs to which entry?
Answer: ZnIr3Cl